Computed, not measured: crystalline CeNd2TlO at its relaxed geometry at the PBE level of DFT. Values from VASP.

Properties
The density of states at the Fermi level is 1.592 states/eV/atom. Its uncorrected formation energy is -125.32 kJ per mole of atoms. The density comes out at 8.77 g cm⁻³. Its spin magnetization is 1.11 μB/f.u.

Structure (Quantum ESPRESSO input):
```
&SYSTEM
  ibrav = 0, nat = 5, ntyp = 4
/
ATOMIC_SPECIES
Ce 140.12 Ce.upf
Nd 144.24 Nd.upf
Tl 204.38 Tl.upf
O 16.00 O.upf
ATOMIC_POSITIONS angstrom
Ce -0.0996 2.3168 -0.7436
Nd -2.5048 -0.0494 0.1816
Nd -0.1577 -0.7723 -2.3849
Tl -2.7621 1.4952 -2.9469
O 0.0000 0.0000 0.0000
CELL_PARAMETERS angstrom
-0.1992 4.6336 -1.4873
-0.3155 -1.5446 -4.7699
-5.0095 -0.0987 0.3633
```

***

Computed, not measured: crystalline Sc5AgAu at its relaxed geometry at the PBE level of DFT. Values from VASP.

Properties
The formation energy comes out at -0.1588 eV per atom. The density of states at the Fermi level is 1.369 states/eV/atom. The density comes out at 5.43 g cm⁻³. Its spin magnetization is 0.00 μB/f.u.

Structure (Quantum ESPRESSO input):
```
&SYSTEM
  ibrav = 0, nat = 14, ntyp = 3
/
ATOMIC_SPECIES
Sc 44.96 Sc.upf
Ag 107.87 Ag.upf
Au 196.97 Au.upf
ATOMIC_POSITIONS angstrom
Sc 0.9802 3.7310 0.9768
Sc 2.3836 2.7298 3.9354
Sc 4.5329 0.2381 5.4927
Sc 5.3506 0.2580 1.4358
Sc 3.9478 3.8559 -1.0638
Sc 4.0286 1.8866 8.4514
Sc 2.6258 5.4845 5.9518
Sc 3.4436 5.5044 1.8949
Sc 5.5928 3.0128 3.4522
Sc 6.9962 2.0116 6.4109
Ag 3.6842 2.5726 1.4358
Ag 4.2922 3.1699 5.9518
Au 0.0000 0.0000 0.0000
Au 0.6837 0.4922 4.5160
CELL_PARAMETERS angstrom
5.7832 -1.0639 -0.8222
0.8258 5.8220 -0.8222
1.3673 0.9844 9.0319
```

***

Computed, not measured: crystalline TlReSnPd2 at its relaxed geometry at the PBE level of DFT. Values from VASP.

Properties
The formation energy comes out at 1.7314 eV per atom. The density of states at the Fermi level is 0.604 states/eV/atom. The density comes out at 8.84 g cm⁻³. Its spin magnetization is 4.14 μB/f.u.

Structure (Quantum ESPRESSO input):
```
&SYSTEM
  ibrav = 0, nat = 5, ntyp = 4
/
ATOMIC_SPECIES
Re 186.21 Re.upf
Tl 204.38 Tl.upf
Sn 118.71 Sn.upf
Pd 106.42 Pd.upf
ATOMIC_POSITIONS angstrom
Re -2.6659 1.4212 3.2769
Tl 0.0000 0.0000 0.0000
Sn -0.2162 -1.0111 2.5074
Pd 0.0429 2.3178 0.9383
Pd -2.4926 0.1145 -0.1688
CELL_PARAMETERS angstrom
-4.9852 0.2290 -0.3376
-0.4325 -2.0221 5.0147
0.0858 4.6357 1.8767
```

***

Computed, not measured: crystalline MoPbAu3 at its relaxed geometry at the PBE level of DFT. Values from VASP.

Properties
The calculation puts the offset from the most stable computed form at 0.000 eV/atom. The formation energy comes out at 0.8469 eV per atom. The density of states at the Fermi level is 1.239 states/eV/atom. The density comes out at 11.29 g cm⁻³. Its spin magnetization is 0.00 μB/f.u.

Structure (Quantum ESPRESSO input):
```
&SYSTEM
  ibrav = 0, nat = 5, ntyp = 3
/
ATOMIC_SPECIES
Pb 207.20 Pb.upf
Mo 95.94 Mo.upf
Au 196.97 Au.upf
ATOMIC_POSITIONS angstrom
Pb -0.7347 -3.1777 2.9597
Mo 0.0000 0.0000 0.0000
Au 0.6019 -2.4524 -0.2990
Au 0.9457 -0.0556 2.3597
Au -2.2823 -0.6698 0.8989
CELL_PARAMETERS angstrom
-4.5647 -1.3395 1.7978
1.2038 -4.9047 -0.5980
1.8914 -0.1112 4.7195
```

***

Computed, not measured: crystalline NdSmDy2Er at its relaxed geometry at the PBE level of DFT. Values from VASP.

Properties
The formation energy comes out at 0.3906 eV per atom. The density of states at the Fermi level is 1.679 states/eV/atom. The density comes out at 7.50 g cm⁻³. Its spin magnetization is 0.00 μB/f.u.

Structure (Quantum ESPRESSO input):
```
&SYSTEM
  ibrav = 0, nat = 10, ntyp = 4
/
ATOMIC_SPECIES
Nd 144.24 Nd.upf
Sm 150.36 Sm.upf
Dy 162.50 Dy.upf
Er 167.26 Er.upf
ATOMIC_POSITIONS angstrom
Nd -1.7683 0.3319 4.9611
Nd -6.0530 -0.1597 1.4617
Sm -3.2084 2.9025 5.9183
Sm -4.6130 -2.7303 0.5045
Dy -2.4486 -2.4205 2.8167
Dy 1.3571 -1.2804 5.4802
Dy -1.7074 -3.1198 5.8094
Dy 0.6160 -0.5812 2.4875
Er -4.8042 -1.5587 5.2712
Er -3.0172 1.7309 1.1516
CELL_PARAMETERS angstrom
-6.1291 -3.6787 0.6583
1.9731 -1.8616 7.9677
-3.6653 5.7125 -2.2033
```

***

Computed, not measured: crystalline MgZn2Hg2 at its relaxed geometry at the PBE level of DFT. Values from VASP.

Properties
The calculation puts the offset from the most stable computed form at 0.000 eV/atom. The formation energy comes out at 0.0186 eV per atom. The density of states at the Fermi level is 0.300 states/eV/atom. The density comes out at 8.96 g cm⁻³. Its spin magnetization is 0.00 μB/f.u.

Structure (Quantum ESPRESSO input):
```
&SYSTEM
  ibrav = 0, nat = 5, ntyp = 3
/
ATOMIC_SPECIES
Mg 24.30 Mg.upf
Zn 65.41 Zn.upf
Hg 200.59 Hg.upf
ATOMIC_POSITIONS angstrom
Mg 0.0000 0.0000 0.0000
Zn 3.8509 1.9254 3.4757
Zn 1.9254 3.8509 3.4757
Hg 1.9254 1.9254 1.4470
Hg 3.8509 3.8509 5.5043
CELL_PARAMETERS angstrom
3.8509 0.0000 0.0000
0.0000 3.8509 0.0000
1.9254 1.9254 6.9513
```

***

Computed, not measured: crystalline PtS3I at its relaxed geometry at the PBE level of DFT. Values from VASP.

Properties
The calculation puts the offset from the most stable computed form at 0.000 eV/atom. The density of states at the Fermi level is 0.835 states/eV/atom. Its uncorrected formation energy is 54.01 kJ per mole of atoms. The density comes out at 6.47 g cm⁻³. Its spin magnetization is 0.00 μB/f.u.

Structure (Quantum ESPRESSO input):
```
&SYSTEM
  ibrav = 0, nat = 5, ntyp = 3
/
ATOMIC_SPECIES
I 126.90 I.upf
S 32.06 S.upf
Pt 195.08 Pt.upf
ATOMIC_POSITIONS angstrom
I 2.3763 2.3763 2.3763
S 0.0000 2.3763 0.0000
S 0.0000 0.0000 2.3763
S 2.3763 0.0000 0.0000
Pt 0.0000 0.0000 0.0000
CELL_PARAMETERS angstrom
4.7527 0.0000 0.0000
0.0000 4.7527 0.0000
0.0000 0.0000 4.7527
```

***

Computed, not measured: crystalline Zr2ScAu at its relaxed geometry at the PBE level of DFT. Values from VASP.

Properties
The formation energy comes out at -0.1607 eV per atom. The density of states at the Fermi level is 1.366 states/eV/atom. The density comes out at 8.31 g cm⁻³. Its spin magnetization is 0.00 μB/f.u.

Structure (Quantum ESPRESSO input):
```
&SYSTEM
  ibrav = 0, nat = 4, ntyp = 3
/
ATOMIC_SPECIES
Au 196.97 Au.upf
Sc 44.96 Sc.upf
Zr 91.22 Zr.upf
ATOMIC_POSITIONS angstrom
Au 0.5228 -2.5136 -1.5990
Sc 0.1308 -3.2206 1.1742
Zr 0.0000 0.0000 0.0000
Zr 3.0075 -0.8065 -1.8446
CELL_PARAMETERS angstrom
-2.3538 -4.9276 1.4198
3.3994 -0.0995 -4.6177
2.6155 -1.5136 0.9286
```

***

Computed, not measured: crystalline Na2PuSbO6 at its relaxed geometry at the PBE level of DFT. Values from VASP.

Properties
The density of states at the Fermi level is 0.604 states/eV/atom. Its uncorrected formation energy is -190.95 kJ per mole of atoms. The density comes out at 6.05 g cm⁻³. Its spin magnetization is 3.00 μB/f.u.

Structure (Quantum ESPRESSO input):
```
&SYSTEM
  ibrav = 0, nat = 10, ntyp = 4
/
ATOMIC_SPECIES
Na 22.99 Na.upf
Pu 244.00 Pu.upf
Sb 121.76 Sb.upf
O 16.00 O.upf
ATOMIC_POSITIONS angstrom
Na 0.5917 2.9112 0.0000
Na 0.5917 0.0000 2.9112
Pu 2.6479 2.9112 2.9112
Sb 2.6483 0.0000 0.0000
O 2.6491 1.4093 1.4093
O 2.6491 1.4093 4.4131
O 0.5942 2.9112 2.9112
O 0.5948 0.0000 0.0000
O 2.6491 4.4131 4.4131
O 2.6491 4.4131 1.4093
CELL_PARAMETERS angstrom
4.1075 0.0000 0.0000
0.0000 5.8224 0.0000
0.0000 0.0000 5.8224
```

***

Computed, not measured: crystalline Ce2GeSe at its relaxed geometry at the PBE level of DFT. Values from VASP.

Properties
The calculation puts the offset from the most stable computed form at 0.232 eV/atom. The density of states at the Fermi level is 2.790 states/eV/atom. Its uncorrected formation energy is -103.83 kJ per mole of atoms. The density comes out at 7.49 g cm⁻³. Its spin magnetization is 2.22 μB/f.u.

Structure (Quantum ESPRESSO input):
```
&SYSTEM
  ibrav = 0, nat = 4, ntyp = 3
/
ATOMIC_SPECIES
Ge 72.64 Ge.upf
Se 78.96 Se.upf
Ce 140.12 Ce.upf
ATOMIC_POSITIONS angstrom
Ge -1.5080 -1.8853 0.6774
Se 0.8479 -4.3686 -0.9895
Ce 3.5328 -3.7239 -2.4997
Ce 1.1789 -1.2427 -0.8342
CELL_PARAMETERS angstrom
-0.2407 -2.1264 2.8275
-2.7752 -1.6442 -1.4727
4.7117 -4.9666 -3.3339
```